10
Lattice="6.353 0.000 0.000 0.000 6.353 0.000 0.000 0.000 6.455" Properties=species:S:1:pos:R:3 comment="Tl4Ru | Alexandria via LeMat-Bulk | GGA-PBE | relaxed" spacegroup="P-42_1c, No. 114" total_magnetization_mub_per_cell=0.00 relative_energy_ev_per_atom=0.0151 vol_a3_per_cell=261 pbc="T T T"
Tl 1.142 1.617 2.040
Tl 1.559 2.034 5.267
Tl 1.617 5.211 4.416
Tl 2.034 4.793 1.188
Tl 4.318 1.559 1.188
Tl 4.736 1.142 4.416
Tl 4.793 4.318 5.267
Tl 5.211 4.736 2.040
Ru 0.000 0.000 0.000
Ru 3.176 3.176 3.228

---

6
Lattice="2.802 0.000 0.000 0.000 2.802 0.000 0.000 0.000 11.714" Properties=species:S:1:pos:R:3 comment="TlRu5 | Alexandria via LeMat-Bulk | GGA-PBE | relaxed" spacegroup="P4/mmm, No. 123" total_magnetization_mub_per_cell=0.00 relative_energy_ev_per_atom=0.0216 vol_a3_per_cell=92 pbc="T T T"
Tl 0.000 0.000 0.000
Ru 0.000 0.000 3.962
Ru 0.000 0.000 7.751
Ru 1.401 1.401 2.242
Ru 1.401 1.401 5.857
Ru 1.401 1.401 9.472

---

6
Lattice="1.645 -8.072 0.000 1.645 8.072 0.000 0.000 0.000 5.099" Properties=species:S:1:pos:R:3 comment="Tl2Ru | Alexandria via LeMat-Bulk | GGA-PBE | relaxed" spacegroup="Cmcm, No. 63" total_magnetization_mub_per_cell=0.00 vol_a3_per_cell=135 pbc="T T T"
Tl 1.645 7.087 3.824
Tl 1.645 2.401 3.824
Tl 1.645 -2.401 1.275
Tl 1.645 -7.087 1.275
Ru 1.645 3.410 1.275
Ru 1.645 -3.410 3.824

---

4
Lattice="5.317 0.000 0.000 0.000 5.317 0.000 0.000 0.000 5.317" Properties=species:S:1:pos:R:3 comment="Tl3Ru | Alexandria via LeMat-Bulk | GGA-PBE | relaxed" spacegroup="Pm-3m, No. 221" total_magnetization_mub_per_cell=0.00 relative_energy_ev_per_atom=0.0000 vol_a3_per_cell=150 pbc="T T T"
Tl 0.000 0.000 2.659
Tl 0.000 2.659 0.000
Tl 2.659 0.000 0.000
Ru 0.000 0.000 0.000

---

6
Lattice="1.578 -12.481 0.000 1.578 12.481 0.000 0.000 0.000 4.641" Properties=species:S:1:pos:R:3 comment="Tl5Ru | Alexandria via LeMat-Bulk | GGA-PBE | relaxed" spacegroup="Cmmm, No. 65" total_magnetization_mub_per_cell=0.00 relative_energy_ev_per_atom=0.0000 vol_a3_per_cell=183 pbc="T T T"
Tl 0.000 0.000 0.000
Tl 1.578 10.018 2.320
Tl 1.578 4.657 0.000
Tl 1.578 -4.657 0.000
Tl 1.578 -10.018 2.320
Ru 1.578 0.000 2.320

---

6
Lattice="-1.633 1.633 12.622 1.633 -1.633 12.622 1.633 1.633 -12.622" Properties=species:S:1:pos:R:3 comment="Tl2Ru | Alexandria via LeMat-Bulk | GGA-PBE | relaxed" spacegroup="I4_1/amd, No. 141" total_magnetization_mub_per_cell=0.00 vol_a3_per_cell=135 pbc="T T T"
Tl 1.633 0.817 1.444
Tl 1.633 0.817 4.868
Tl 0.000 0.817 7.755
Tl 0.000 0.817 11.179
Ru 1.633 -0.817 9.467
Ru 0.000 2.450 3.156

---

5
Lattice="5.327 0.000 0.000 0.000 5.327 0.000 0.000 0.000 5.327" Properties=species:S:1:pos:R:3 comment="Tl4Ru | Alexandria via LeMat-Bulk | GGA-PBE | relaxed" spacegroup="Pm-3m, No. 221" total_magnetization_mub_per_cell=0.00 relative_energy_ev_per_atom=0.0000 vol_a3_per_cell=151 pbc="T T T"
Tl 0.000 0.000 0.000
Tl 0.000 2.664 2.664
Tl 2.664 0.000 2.664
Tl 2.664 2.664 0.000
Ru 2.664 2.664 2.664

---

4
Lattice="3.541 0.000 0.000 0.000 3.541 0.000 0.000 0.000 7.361" Properties=species:S:1:pos:R:3 comment="TlRu | Alexandria via LeMat-Bulk | GGA-PBE | relaxed" spacegroup="P4/nmm, No. 129" total_magnetization_mub_per_cell=0.01 vol_a3_per_cell=92 pbc="T T T"
Tl 0.885 0.885 1.239
Tl 2.656 2.656 6.122
Ru 0.885 2.656 3.680
Ru 2.656 0.885 3.680

---

4
Lattice="0.000 3.361 3.361 3.361 0.000 3.361 3.361 3.361 0.000" Properties=species:S:1:pos:R:3 comment="TlRu | Alexandria via LeMat-Bulk | GGA-PBE | relaxed" spacegroup="Fd-3m, No. 227" total_magnetization_mub_per_cell=2.29 vol_a3_per_cell=76 pbc="T T T"
Tl 0.840 0.840 0.840
Tl 5.883 5.883 5.883
Ru 2.521 2.521 2.521
Ru 4.202 4.202 4.202

---

8
Lattice="4.671 -5.717 0.000 4.671 5.717 0.000 0.000 0.000 4.063" Properties=species:S:1:pos:R:3 comment="Tl3Ru | Alexandria via LeMat-Bulk | GGA-PBE | relaxed" spacegroup="Cmcm, No. 63" total_magnetization_mub_per_cell=0.82 relative_energy_ev_per_atom=0.1670 vol_a3_per_cell=217 pbc="T T T"
Tl 4.671 4.301 3.047
Tl 2.673 1.520 3.047
Tl 2.673 -1.520 1.016
Tl 6.670 1.520 3.047
Tl 6.670 -1.520 1.016
Tl 4.671 -4.301 1.016
Ru 4.671 0.645 1.016
Ru 4.671 -0.645 3.047

---

3
Lattice="4.664 0.000 0.000 -2.332 4.039 0.000 0.000 0.000 3.504" Properties=species:S:1:pos:R:3 comment="Tl2Ru | Alexandria via LeMat-Bulk | GGA-PBE | relaxed" spacegroup="P-3m1, No. 164" total_magnetization_mub_per_cell=0.00 vol_a3_per_cell=66 pbc="T T T"
Tl 0.000 2.693 0.939
Tl 2.332 1.346 2.565
Ru 0.000 0.000 0.000

---

6
Lattice="5.090 -1.412 0.000 5.090 1.412 0.000 -1.698 0.000 6.354" Properties=species:S:1:pos:R:3 comment="TlRu5 | Alexandria via LeMat-Bulk | GGA-PBE | relaxed" spacegroup="Cm, No. 8" total_magnetization_mub_per_cell=0.00 relative_energy_ev_per_atom=0.0000 vol_a3_per_cell=91 pbc="T T T"
Tl 0.000 0.000 0.000
Ru 2.683 0.000 0.463
Ru 2.270 0.000 4.170
Ru 5.157 0.000 4.519
Ru 6.372 0.000 2.239
Ru 8.989 0.000 2.565

---

Number 1: DFT formation energy 0.246 eV per atom. Number 2: DFT formation energy 0.345 eV per atom. Number 3: DFT formation energy 0.537 eV per atom. Number 4: DFT formation energy 0.242 eV per atom. Number 5: DFT formation energy 0.255 eV per atom. Number 6: DFT formation energy 0.518 eV per atom. Number 7: DFT formation energy 0.230 eV per atom. Number 8: DFT formation energy 0.653 eV per atom. Number 9: DFT formation energy 0.910 eV per atom. Number 10: DFT formation energy 0.409 eV per atom. Number 11: DFT formation energy 0.703 eV per atom. Number 12: DFT formation energy 0.324 eV per atom.